This record from Alexandria via LeMat-Bulk describes a relaxed structure of K3Mg2. The functional is GGA-PBE.

Calculated values
symmetry: No. 166
ΔH_f (0 K): 0.2675 eV per atom

abc: 17.3780 17.3780 17.3780
angles: 13.10 13.10 13.10
With the nearest neighbours (Å) after each atom.
Atoms (fractional coordinates):
K 0.2075 0.2075 0.2075  3 Mg 3.95, 6 K 3.96
Mg 0.6032 0.6032 0.6032  6 K 3.95-4.00, 6 Mg 3.96
Mg 0.3968 0.3968 0.3968  6 K 3.95-4.00, 6 Mg 3.96
K 0.0000 0.0000 0.0000  6 K 3.96, 6 Mg 4.00
K 0.7925 0.7925 0.7925  3 Mg 3.95, 6 K 3.96